Computed, not measured: a relaxed Sc4Cd2Pt crystal at the PBE level of DFT.

abc: 4.8225 4.8225 23.6178
angles: 90.00 90.00 120.00
Closest atoms and distances in Å follow each position.
Space group R-3m (No. 166, hexagonal axes)
Asymmetric unit:
Sc 0.0000 0.0000 0.1225 (multiplicity 6)  1 Pt 2.89, 4 Cd 2.91-2.94
Sc 0.0000 0.0000 0.3733 (multiplicity 6)  3 Pt 2.94, 4 Cd 2.98-2.99
Cd 0.0000 0.0000 0.2469 (multiplicity 6)  8 Sc 2.91-2.99
Pt 0.0000 0.0000 0.0000 (multiplicity 3)  8 Sc 2.89-2.94

## Properties
- Calculated formation energy: -0.3525 eV per atom

Computed, not measured: a relaxed Sc5Cd4Pt crystal at the PBE level of DFT.

abc: 3.4621 3.4621 17.6939
angles: 90.00 90.00 90.00
Closest atoms and distances in Å follow each position.
Space group P4/mmm (No. 123)
Asymmetric unit:
Sc 0.0000 0.0000 0.0000 (multiplicity 1)  8 Cd 3.05
Sc 0.0000 0.0000 0.2065 (multiplicity 2)  8 Cd 3.04-3.06
Sc 0.0000 0.0000 0.4140 (multiplicity 2)  4 Pt 2.88, 1 Sc 3.04, 4 Cd 3.08
Cd 0.5000 0.5000 0.1026 (multiplicity 2)  8 Sc 3.05-3.06
Cd 0.5000 0.5000 0.3081 (multiplicity 2)  8 Sc 3.04-3.08, 1 Pt 3.40
Pt 0.5000 0.5000 0.5000 (multiplicity 1)  8 Sc 2.88

## Properties
- Calculated formation energy: -0.4812 eV per atom